1.
## RbCd12Hg6 (PBE)

Data for a relaxed structure of RbCd12Hg6.

Its volume is 511.3 Å³/f.u. The calculation puts the distance to the lowest polymorph of the same formula at 0 meV/atom. The calculation puts the formation energy at 0.0 eV per formula unit. The value obtained for the density of states at the Fermi level is 18.414 states/eV/cell.

The space group is R-3m (No. 166, hexagonal axes) and the conventional cell measures 13.1723, 13.1723 and 10.2085 Å, with angles of 90.00, 90.00 and 120.00 degrees. The distinct sites, in fractional coordinates, are Rb at (0.0000, 0.0000, 0.0000), Cd at (0.0000, 0.3901, 0.5000), Cd at (0.0805, 0.1609, 0.3247) and Hg at (0.0327, 0.5164, 0.2438).

2.
## K3ZnAg (PBE)

Data for a relaxed structure of K3ZnAg.

Its volume is 271.3 Å³/f.u. The calculation puts the distance to the lowest polymorph of the same formula at 0 meV/atom. The calculation puts the formation energy at 1.2 eV per formula unit. The value obtained for the density of states at the Fermi level is 5.543 states/eV/cell.

The space group is Pm-3m (No. 221) and the conventional cell measures 6.474, 6.474 and 6.474 Å, with angles of 90.00, 90.00 and 90.00 degrees. The distinct sites, in fractional coordinates, are K at (0.000, 0.000, 0.500), Zn at (0.500, 0.500, 0.500) and Ag at (0.000, 0.000, 0.000).

3.
## HoHfC2 (PBE)

Data for a relaxed structure of HoHfC2.

Its volume is 58.5 Å³/f.u. The calculation puts the distance to the lowest polymorph of the same formula at 340 meV/atom. The calculation puts the formation energy at -0.5 eV per formula unit. The value obtained for the density of states at the Fermi level is 6.971 states/eV/cell.

The space group is R3m (No. 160, hexagonal axes) and the conventional cell measures 3.4685, 3.4685 and 16.8490 Å, with angles of 90.00, 90.00 and 120.00 degrees. The distinct sites, in fractional coordinates, are Ho at (0.0000, 0.0000, 0.0000), Hf at (0.0000, 0.0000, 0.8248), C at (0.0000, 0.0000, 0.4214) and C at (0.0000, 0.0000, 0.5628).

4.
## NpCoNiAs2 (PBE)

Data for a relaxed structure of NpCoNiAs2.

Its volume is 80.8 Å³/f.u. The calculation puts the formation energy at -2.2 eV per formula unit. The value obtained for the density of states at the Fermi level is 18.907 states/eV/cell.

The space group is I-4m2 (No. 119) and the conventional cell measures 3.901, 3.901 and 10.626 Å, with angles of 90.00, 90.00 and 90.00 degrees. The distinct sites, in fractional coordinates, are Np at (0.000, 0.000, 0.000), Co at (0.000, 0.500, 0.250), Ni at (0.000, 0.500, 0.750) and As at (0.000, 0.000, 0.373).

5.
## YNi2P2 (PBE)

Data for a relaxed structure of YNi2P2.

Its volume is 74.0 Å³/f.u. The calculation puts the formation energy at -1.9 eV per formula unit. The value obtained for the density of states at the Fermi level is 9.322 states/eV/cell.

The space group is P4/mbm (No. 127) and the conventional cell measures 7.123, 7.123 and 2.916 Å, with angles of 90.00, 90.00 and 90.00 degrees. The distinct sites, in fractional coordinates, are Y at (0.000, 0.000, 0.000), Ni at (0.128, 0.372, 0.500) and P at (0.139, 0.639, 0.000).

6.
## Li3Pa2InN6 (PBE)

Data for a relaxed structure of Li3Pa2InN6.

The formation energy from raw total energies comes out at -0.667 eV per atom. Its volume is 157.4 Å³/f.u. The value obtained for the density of states at the Fermi level is 12.609 states/eV/cell.

The space group is C2/m (No. 12) and the conventional cell measures 5.739, 10.587 and 5.431 Å, with angles of 90.00, 107.48 and 90.00 degrees. The distinct sites, in fractional coordinates, are Li at (0.000, 0.000, 0.000), Li at (0.000, 0.352, 0.000), Pa at (0.000, 0.163, 0.500), In at (0.000, 0.500, 0.500), N at (0.232, 0.000, 0.732) and N at (0.244, 0.171, 0.274).

7.
## ReAgHg2 (PBE)

Data for a relaxed structure of ReAgHg2.

Its volume is 74.6 Å³/f.u. The calculation puts the distance to the lowest polymorph of the same formula at 176 meV/atom. The calculation puts the formation energy at 3.0 eV per formula unit. The value obtained for the density of states at the Fermi level is 3.523 states/eV/cell.

The space group is Pmmm (No. 47) and the conventional cell measures 2.840, 4.297 and 6.114 Å, with angles of 90.00, 90.00 and 90.00 degrees. The distinct sites, in fractional coordinates, are Re at (0.000, 0.000, 0.000), Ag at (0.000, 0.000, 0.500) and Hg at (0.500, 0.500, 0.240).

8.
## LiCrAsRh (PBE)

Data for a relaxed structure of LiCrAsRh.

Its volume is 53.6 Å³/f.u. The calculation puts the formation energy at -1.2 eV per formula unit. The value obtained for the density of states at the Fermi level is 7.264 states/eV/cell.

The space group is F-43m (No. 216) and the conventional cell measures 5.987, 5.987 and 5.987 Å, with angles of 90.00, 90.00 and 90.00 degrees. The distinct sites, in fractional coordinates, are Li at (0.000, 0.000, 0.000), Cr at (0.250, 0.250, 0.250), As at (0.000, 0.000, 0.500) and Rh at (0.250, 0.250, 0.750).

9.
## Nd2ErGe2 (PBE)

Data for a relaxed structure of Nd2ErGe2.

Its volume is 130.4 Å³/f.u. The calculation puts the distance to the lowest polymorph of the same formula at 0 meV/atom. The calculation puts the formation energy at -3.9 eV per formula unit. The value obtained for the density of states at the Fermi level is 9.333 states/eV/cell.

The space group is P4/mbm (No. 127) and the conventional cell measures 7.681, 7.681 and 4.421 Å, with angles of 90.00, 90.00 and 90.00 degrees. The distinct sites, in fractional coordinates, are Nd at (0.175, 0.325, 0.000), Er at (0.000, 0.000, 0.500) and Ge at (0.123, 0.623, 0.500).

10.
## PmH6PdPt2 (PBE)

Data for a relaxed structure of PmH6PdPt2.

Its raw total energy is -4.541 eV/atom. Its volume is 98.5 Å³/f.u. The value obtained for the density of states at the Fermi level is 5.407 states/eV/cell.

The space group is R-3m (No. 166, hexagonal axes) and the conventional cell measures 4.7885, 4.7885 and 14.8860 Å, with angles of 90.00, 90.00 and 120.00 degrees. The distinct sites, in fractional coordinates, are Pm at (0.0000, 0.0000, 0.0000), H at (0.0263, 0.5132, 0.0688), Pd at (0.0000, 0.0000, 0.5000) and Pt at (0.0000, 0.0000, 0.2135).

11.
## La2NbPPd (PBE)

Data for a relaxed structure of La2NbPPd.

Its volume is 142.9 Å³/f.u. The calculation puts the formation energy at 1.1 eV per formula unit. The value obtained for the density of states at the Fermi level is 4.331 states/eV/cell.

The space group is P4/mmm (No. 123) and the conventional cell measures 5.683, 5.683 and 4.424 Å, with angles of 90.00, 90.00 and 90.00 degrees. The distinct sites, in fractional coordinates, are La at (0.000, 0.500, 0.000), Nb at (0.000, 0.000, 0.500), P at (0.500, 0.500, 0.500) and Pd at (0.500, 0.500, 0.000).

12.
## CeNd2Hg4 (PBE)

Data for a relaxed structure of CeNd2Hg4.

Its volume is 211.4 Å³/f.u. The calculation puts the distance to the lowest polymorph of the same formula at 0 meV/atom. The calculation puts the formation energy at -2.0 eV per formula unit. The value obtained for the density of states at the Fermi level is 10.837 states/eV/cell.

The space group is P4/mmm (No. 123) and the conventional cell measures 5.350, 5.350 and 7.387 Å, with angles of 90.00, 90.00 and 90.00 degrees. The distinct sites, in fractional coordinates, are Ce at (0.000, 0.000, 0.000), Nd at (0.000, 0.000, 0.500), Nd at (0.500, 0.500, 0.000) and Hg at (0.000, 0.500, 0.263).

13.
## GdTiIr2 (PBE)

Data for a relaxed structure of GdTiIr2.

Its volume is 70.5 Å³/f.u. The calculation puts the distance to the lowest polymorph of the same formula at 0 meV/atom. The calculation puts the formation energy at -3.1 eV per formula unit. The value obtained for the density of states at the Fermi level is 3.511 states/eV/cell.

The space group is P4/mmm (No. 123) and the conventional cell measures 3.098, 3.098 and 7.348 Å, with angles of 90.00, 90.00 and 90.00 degrees. The distinct sites, in fractional coordinates, are Gd at (0.000, 0.000, 0.000), Ti at (0.000, 0.000, 0.500) and Ir at (0.500, 0.500, 0.293).

14.
## TaMo2Se6 (PBE)

Data for a relaxed structure of TaMo2Se6.

The formation energy from raw total energies comes out at -0.531 eV per atom. Its volume is 186.5 Å³/f.u. The calculation puts the distance to the lowest polymorph of the same formula at 100 meV/atom. The value obtained for the density of states at the Fermi level is 8.221 states/eV/cell.

The space group is Pnnm (No. 58) and the conventional cell measures 5.913, 5.956 and 10.595 Å, with angles of 90.00, 90.00 and 90.00 degrees. The distinct sites, in fractional coordinates, are Ta at (0.000, 0.000, 0.000), Mo at (0.000, 0.500, 0.366), Se at (0.173, 0.264, 0.168) and Se at (0.176, 0.204, 0.500).

15.
## CaZr2Br (PBE)

Data for a relaxed structure of CaZr2Br.

The formation energy from raw total energies comes out at -0.301 eV per atom. Its volume is 104.3 Å³/f.u. The calculation puts the distance to the lowest polymorph of the same formula at 5 meV/atom. The value obtained for the density of states at the Fermi level is 11.736 states/eV/cell.

The space group is R3m (No. 160, hexagonal axes) and the conventional cell measures 3.5063, 3.5063 and 29.3988 Å, with angles of 90.00, 90.00 and 120.00 degrees. The distinct sites, in fractional coordinates, are Ca at (0.0000, 0.0000, 0.0000), Zr at (0.0000, 0.0000, 0.2378), Zr at (0.0000, 0.0000, 0.4918) and Br at (0.0000, 0.0000, 0.7545).

16.
## LaTeP (PBE)

Data for a relaxed structure of LaTeP.

The formation energy from raw total energies comes out at -0.394 eV per atom. Its volume is 92.9 Å³/f.u. The value obtained for the density of states at the Fermi level is 6.898 states/eV/cell.

The space group is F-43m (No. 216) and the conventional cell measures 7.190, 7.190 and 7.190 Å, with angles of 90.00, 90.00 and 90.00 degrees. The distinct sites, in fractional coordinates, are La at (0.000, 0.000, 0.000), Te at (0.250, 0.250, 0.750) and P at (0.000, 0.000, 0.500).

17.
## K2TlSn (PBE)

Data for a relaxed structure of K2TlSn.

Its volume is 148.0 Å³/f.u. The calculation puts the distance to the lowest polymorph of the same formula at 95 meV/atom. The calculation puts the formation energy at 0.0 eV per formula unit. The value obtained for the density of states at the Fermi level is 19.777 states/eV/cell.

The space group is Fm-3m (No. 225) and the conventional cell measures 8.397, 8.397 and 8.397 Å, with angles of 90.00, 90.00 and 90.00 degrees. The distinct sites, in fractional coordinates, are K at (0.250, 0.250, 0.250), Tl at (0.000, 0.000, 0.000) and Sn at (0.000, 0.000, 0.500).

18.
## Y3Tm5As8 (PBE)

Data for a relaxed structure of Y3Tm5As8.

Its volume is 385.7 Å³/f.u. The calculation puts the formation energy at -24.4 eV per formula unit. The value obtained for the density of states at the Fermi level is 9.048 states/eV/cell.

The space group is R-3m (No. 166, hexagonal axes) and the conventional cell measures 8.1708, 8.1708 and 20.0148 Å, with angles of 90.00, 90.00 and 120.00 degrees. The distinct sites, in fractional coordinates, are Y at (0.0000, 0.5000, 0.0000), Tm at (0.0000, 0.0000, 0.0000), Tm at (0.0000, 0.0000, 0.5000), Tm at (0.0000, 0.5000, 0.5000), As at (0.0000, 0.0000, 0.2486) and As at (0.0019, 0.5009, 0.7509).

19.
## Ca2AgPd2 (PBE)

Data for a relaxed structure of Ca2AgPd2.

Its volume is 111.2 Å³/f.u. The calculation puts the distance to the lowest polymorph of the same formula at 41 meV/atom. The calculation puts the formation energy at -2.8 eV per formula unit. The value obtained for the density of states at the Fermi level is 4.184 states/eV/cell.

The space group is P4/mbm (No. 127) and the conventional cell measures 7.432, 7.432 and 4.025 Å, with angles of 90.00, 90.00 and 90.00 degrees. The distinct sites, in fractional coordinates, are Ca at (0.172, 0.328, 0.000), Ag at (0.000, 0.000, 0.500) and Pd at (0.131, 0.631, 0.500).

20.
## LaFe2Te (PBE)

Data for a relaxed structure of LaFe2Te.

The formation energy from raw total energies comes out at 0.001 eV per atom. Its volume is 88.6 Å³/f.u. The value obtained for the density of states at the Fermi level is 7.103 states/eV/cell.

The space group is Imm2 (No. 44) and the conventional cell measures 3.888, 4.217 and 10.803 Å, with angles of 90.00, 90.00 and 90.00 degrees. The distinct sites, in fractional coordinates, are La at (0.000, 0.000, 0.000), Fe at (0.000, 0.000, 0.602), Fe at (0.000, 0.500, 0.228) and Te at (0.000, 0.500, 0.758).